A relaxed structure of CsTlPtO. Source: OQMD via LeMat-Bulk, functional PBE.

Values from the calculation:
Total moment in μB/f.u.: 0.00
Uncorrected energy in eV per atom: -4.0767

Cell and atoms, written as POSCAR:
```
CsTlPtO
1.0
2.9474 -8.2032 0.0000
2.9474 8.2032 0.0000
0.0000 0.0000 5.4083
Cs Tl Pt O
2 2 2 2
Direct
0.1048 0.8952 0.5000
0.8952 0.1048 0.0000
0.3455 0.6545 0.5132
0.6545 0.3455 0.0132
0.5000 0.5000 0.2722
0.5000 0.5000 0.7722
0.4057 0.5943 0.0219
0.5943 0.4057 0.5219
```